# 1
This record from OQMD via LeMat-Bulk describes an optimized crystal structure of PaTa2O4. The functional is PBE.

Unit cell a=9.1495 b=9.1495 c=9.1495 alpha=90.00 beta=90.00 gamma=90.00
Last column: nearest neighbours and their distance in Å.
Space group Fd-3m (No. 227, origin choice 2)
Inequivalent atoms, fractional coordinates:
Pa (0.1250, 0.1250, 0.1250) x8  4 O 2.20
Ta (0.0000, 0.0000, 0.5000) x16  6 O 2.17
O (0.0138, 0.0138, 0.7362) x32  3 Ta 2.17, 1 Pa 2.20

- Total DFT energy (no corrections): -513.7 eV/cell



# 2
This record from OQMD via LeMat-Bulk describes an optimized crystal structure of ZrNb. The functional is PBE.

Unit cell a=5.0499 b=2.8800 c=5.6810 alpha=90.00 beta=90.00 gamma=90.00
Last column: nearest neighbours and their distance in Å.
Space group Pmma (No. 51)
Inequivalent atoms, fractional coordinates:
Zr (0.2500, 0.0000, 0.1394) x2  4 Zr 2.88-2.98, 6 Nb 3.10-3.20
Nb (0.2500, 0.5000, 0.6233) x2  4 Nb 2.88-2.89, 6 Zr 3.10-3.20

- Total DFT energy (no corrections): -36.6 eV/cell



# 3
This record from OQMD via LeMat-Bulk describes an optimized crystal structure of Dy2ErSc3OsS2. The functional is PBE.

Unit cell a=3.8731 b=13.0183 c=7.4753 alpha=90.00 beta=90.00 gamma=90.00
Last column: nearest neighbours and their distance in Å.
Space group Amm2 (No. 38)
Inequivalent atoms, fractional coordinates:
Dy (0.0000, 0.2047, 0.0000) x4  4 S 2.98, 1 Os 3.09, 6 Sc 3.23-3.31
Er (0.0000, 0.0000, 0.3879) x2  4 S 2.99, 1 Os 3.01, 6 Sc 3.25-3.29
Sc (0.5000, 0.0000, 0.0391) x2  2 Os 2.68, 2 S 2.89
Sc (0.5000, 0.1229, 0.6725) x4  2 Os 2.66, 2 S 2.88-2.89
Os (0.0000, 0.0000, 0.7903) x2  6 Sc 2.66-2.68
S (0.5000, 0.1666, 0.2953) x4  3 Sc 2.88-2.89, 4 Dy 2.98, 2 Er 2.99

- Total DFT energy (no corrections): -120.5 eV/cell



# 4
This record from OQMD via LeMat-Bulk describes an optimized crystal structure of Sr2LiIrN6. The functional is PBE.

Unit cell a=5.5713 b=5.5713 c=7.8838 alpha=90.00 beta=90.00 gamma=90.00
Last column: nearest neighbours and their distance in Å.
Space group I4/m (No. 87)
Inequivalent atoms, fractional coordinates:
Sr (0.0000, 0.5000, 0.2500) x4  12 N 2.77-2.81
Li (0.0000, 0.0000, 0.0000) x2  6 N 1.98
Ir (0.0000, 0.0000, 0.5000) x2  6 N 1.96
N (0.0000, 0.0000, 0.2512) x4  1 Ir 1.96, 1 Li 1.98
N (0.2451, 0.2524, 0.5000) x8  1 Ir 1.96, 1 Li 1.98

- Energy relative to the lowest polymorph listed for this composition: 6 meV/atom